AsRh | PBE | optimized geometry

Geometry as CIF:
```
data_AsRh
_chemical_formula_sum 'As2 Rh2'
_symmetry_space_group_name_H-M 'P 1 21/m 1'
_symmetry_Int_Tables_number 11
_cell_length_a 3.683
_cell_length_b 4.592
_cell_length_c 4.653
_cell_angle_alpha 90.00
_cell_angle_beta 113.03
_cell_angle_gamma 90.00
loop_
_symmetry_equiv_pos_as_xyz
'x,y,z'
'-x,-y,-z'
'-x,y+1/2,-z'
'x,-y+1/2,z'
loop_
_atom_site_label
_atom_site_fract_x
_atom_site_fract_y
_atom_site_fract_z
As1 0.099 0.250 0.194
Rh1 0.221 0.750 0.442
```

Values from the calculation:
**ΔE_f**: -0.35 eV per atom